DFT (PBE-GGA) results for GaTeMo after structural relaxation.

Lattice parameters (Å, degrees): 4.564 4.564 4.564 60.00 60.00 60.00
Atoms (fractional coordinates):
Ga (0.000, 0.000, 0.000)
Te (0.250, 0.250, 0.250)
Mo (0.500, 0.500, 0.500)

DFT total energy	-14.5	eV/f.u.
calculated volume	67.2	Å³ per cell
symmetry	F-43m
energy above the most stable polymorph in this dataset	0.402	eV/atom
total magnetic moment	0.7	μB per formula unit



DFT (PBE-GGA) results for ThGaMo after structural relaxation.

Lattice parameters (Å, degrees): 4.650 4.650 4.650 60.00 60.00 60.00
Atoms (fractional coordinates):
Th (0.000, 0.000, 0.000)
Ga (0.750, 0.750, 0.750)
Mo (0.500, 0.500, 0.500)

DFT total energy	-20.2	eV/f.u.
calculated volume	71.1	Å³ per cell
symmetry	F-43m
total magnetic moment	0.5	μB per formula unit